Entry 1:
First-principles (PBEsol) data for crystalline MgZn2Ag at its relaxed geometry, as listed in the Alexandria database.

Lattice parameters (Å, degrees): 3.295 3.295 5.901 90.00 90.00 90.00
Space group P4mm (No. 99)
Symmetry-distinct sites (fractional):
Mg  0.000  0.000  0.000 (multiplicity 1)
Zn  0.000  0.000  0.492 (multiplicity 1)
Zn  0.500  0.500  0.267 (multiplicity 1)
Ag  0.500  0.500  0.736 (multiplicity 1)

Computed properties:
total energy	-2.14	eV/atom
energy of formation from the pure elements	-0.091	eV/atom



Entry 2:
First-principles (PBEsol) data for crystalline Mg2ZnAg at its relaxed geometry, as listed in the Alexandria database.

Lattice parameters (Å, degrees): 4.528 4.528 3.403 90.00 90.00 90.00
Space group P4/mmm (No. 123)
Symmetry-distinct sites (fractional):
Mg  0.000  0.500  0.000 (multiplicity 2)
Zn  0.000  0.000  0.500 (multiplicity 1)
Ag  0.500  0.500  0.500 (multiplicity 1)

Computed properties:
total energy	-2.24	eV/atom
energy of formation from the pure elements	-0.156	eV/atom



Entry 3:
First-principles (PBEsol) data for crystalline Mg2ZnAg at its relaxed geometry, as listed in the Alexandria database.

Lattice parameters (Å, degrees): 4.074 4.074 8.423 90.00 90.00 90.00
Space group I-4m2 (No. 119)
Symmetry-distinct sites (fractional):
Mg  0.000  0.000  0.000 (multiplicity 2)
Mg  0.000  0.500  0.250 (multiplicity 2)
Zn  0.000  0.000  0.500 (multiplicity 2)
Ag  0.000  0.500  0.750 (multiplicity 2)

Computed properties:
total energy	-2.18	eV/atom
energy of formation from the pure elements	-0.100	eV/atom